Entry 1:
Li12In2Ag5: optimized geometry, PBE-GGA.

Lattice parameters (Å, degrees): 13.7564 6.9132 7.0896 90.00 94.77 90.00
Last column: nearest neighbours and their distance in Å.
Space group C2/m (No. 12)
Inequivalent atoms, fractional coordinates:
Li: 0.0520 0.0000 0.2008  4 Li 2.69-2.82, 1 Ag 2.90
Li: 0.1125 0.2407 0.8667  4 Ag 2.60-2.74, 2 Li 2.78-2.82
Li: 0.1782 0.2936 0.2710  5 Li 2.69-2.96, 3 Ag 2.76-2.92
Li: 0.1845 0.5000 0.6131  2 Ag 2.73-2.74, 6 Li 2.78-2.85, 2 In 2.98
In: 0.0000 0.2873 0.5000  2 Ag 2.89, 8 Li 2.93-3.05, 1 In 2.94
Ag: 0.0000 0.5000 0.0000  4 Li 2.60
Ag: 0.1509 0.0000 0.5786  8 Li 2.72-3.03, 2 In 2.89
Ag: 0.2450 0.0000 0.0151  9 Li 2.62-2.92

Output
formation enthalpy at 0 K	-0.15	eV/atom

Entry 2:
Pm3TmIr3: optimized geometry, PBE-GGA.

Lattice parameters (Å, degrees): 8.5206 8.5206 17.2145 90.00 90.00 120.00
Last column: nearest neighbours and their distance in Å.
Space group R-3 (No. 148, hexagonal axes)
Inequivalent atoms, fractional coordinates:
Pm: 0.0162 0.2851 0.1009  5 Ir 2.88-3.03
Tm: 0.0000 0.0000 0.3258  6 Ir 2.79-2.99
Ir: 0.0078 0.3803 0.9368  2 Tm 2.79-2.99, 5 Pm 2.88-3.03, 1 Ir 3.03

Output
formation enthalpy at 0 K	-0.65	eV/atom
polymorph energy (0 for the lowest one)	0	meV per atom

Entry 3:
TbFe3P3: optimized geometry, PBE-GGA.

Lattice parameters (Å, degrees): 6.0779 6.0779 6.0779 90.00 90.00 90.00
Last column: nearest neighbours and their distance in Å.
Space group Pm-3n (No. 223)
Inequivalent atoms, fractional coordinates:
Tb: 0.0000 0.0000 0.0000  12 Fe 3.40, 12 P 3.40
Fe: 0.0000 0.2500 0.5000  4 P 2.15
P: 0.0000 0.5000 0.2500  4 Fe 2.15

Output
formation enthalpy at 0 K	-0.40	eV/atom

Entry 4:
TlZn2Cr: optimized geometry, PBE-GGA.

Lattice parameters (Å, degrees): 6.6427 6.6427 6.6427 90.00 90.00 90.00
Last column: nearest neighbours and their distance in Å.
Space group Fm-3m (No. 225)
Inequivalent atoms, fractional coordinates:
Tl: 0.0000 0.0000 0.0000  8 Zn 2.88
Zn: 0.2500 0.2500 0.2500  4 Cr 2.88, 4 Tl 2.88
Cr: 0.0000 0.0000 0.5000  8 Zn 2.88

Output
formation enthalpy at 0 K	0.41	eV/atom
polymorph energy (0 for the lowest one)	89	meV per atom